A plane-wave DFT calculation with PBE-GGA was carried out for a relaxed structure of NdTmPt.

Structure (CIF):
```
data_NdTmPt
_chemical_formula_sum 'Nd4 Tm4 Pt4'
_symmetry_space_group_name_H-M 'F -4 3 m'
_symmetry_Int_Tables_number 216
_symmetry_space_group_name_Hall 'F -4 2 3'
_cell_length_a 6.957
_cell_length_b 6.957
_cell_length_c 6.957
_cell_angle_alpha 90.00
_cell_angle_beta 90.00
_cell_angle_gamma 90.00
loop_
_atom_site_label
_atom_site_type_symbol
_atom_site_fract_x
_atom_site_fract_y
_atom_site_fract_z
_atom_site_occupancy
Nd1 Nd 0.000 0.000 0.000 1
Tm1 Tm 0.000 0.000 0.500 1
Pt1 Pt 0.250 0.250 0.750 1
```

A plane-wave DFT calculation with PBE-GGA was carried out for a relaxed structure of Nd3TmPt8.

Structure (CIF):
```
data_Nd3TmPt8
_chemical_formula_sum 'Nd9 Tm3 Pt24'
_symmetry_space_group_name_H-M 'R 3 m'
_symmetry_Int_Tables_number 160
_symmetry_space_group_name_Hall 'R 3 -2"'
_cell_length_a 5.4901
_cell_length_b 5.4901
_cell_length_c 26.9074
_cell_angle_alpha 90.00
_cell_angle_beta 90.00
_cell_angle_gamma 120.00
loop_
_atom_site_label
_atom_site_type_symbol
_atom_site_fract_x
_atom_site_fract_y
_atom_site_fract_z
_atom_site_occupancy
Nd1 Nd 0.0000 0.0000 0.0000 1
Nd2 Nd 0.0000 0.0000 0.1258 1
Nd3 Nd 0.0000 0.0000 0.6238 1
Tm1 Tm 0.0000 0.0000 0.4992 1
Pt1 Pt 0.0000 0.0000 0.3124 1
Pt2 Pt 0.0000 0.0000 0.8126 1
Pt3 Pt 0.9996 0.4998 0.5614 1
Pt4 Pt 0.0017 0.5009 0.0633 1
```

A plane-wave DFT calculation with PBE-GGA was carried out for a relaxed structure of NdTmPt.

Structure (CIF):
```
data_NdTmPt
_chemical_formula_sum 'Nd2 Tm2 Pt2'
_symmetry_space_group_name_H-M 'P 1 21/m 1'
_symmetry_Int_Tables_number 11
_symmetry_space_group_name_Hall '-P 2yb'
_cell_length_a 4.721
_cell_length_b 4.757
_cell_length_c 7.187
_cell_angle_alpha 90.00
_cell_angle_beta 95.70
_cell_angle_gamma 90.00
loop_
_atom_site_label
_atom_site_type_symbol
_atom_site_fract_x
_atom_site_fract_y
_atom_site_fract_z
_atom_site_occupancy
Nd1 Nd 0.237 0.250 0.382 1
Tm1 Tm 0.260 0.750 0.003 1
Pt1 Pt 0.193 0.250 0.777 1
```

A plane-wave DFT calculation with PBE-GGA was carried out for a relaxed structure of Nd3TmPt3.

Structure (CIF):
```
data_Nd3TmPt3
_chemical_formula_sum 'Nd12 Tm4 Pt12'
_symmetry_space_group_name_H-M 'C 1 2/m 1'
_symmetry_Int_Tables_number 12
_symmetry_space_group_name_Hall '-C 2y'
_cell_length_a 9.401
_cell_length_b 10.713
_cell_length_c 7.267
_cell_angle_alpha 90.00
_cell_angle_beta 91.01
_cell_angle_gamma 90.00
loop_
_atom_site_label
_atom_site_type_symbol
_atom_site_fract_x
_atom_site_fract_y
_atom_site_fract_z
_atom_site_occupancy
Nd1 Nd 0.000 0.175 0.000 1
Nd2 Nd 0.000 0.253 0.500 1
Nd3 Nd 0.164 0.500 0.880 1
Tm1 Tm 0.247 0.000 0.620 1
Pt1 Pt 0.062 0.000 0.311 1
Pt2 Pt 0.238 0.272 0.213 1
```

A plane-wave DFT calculation with PBE-GGA was carried out for a relaxed structure of NdTm4Pt4.

Structure (CIF):
```
data_NdTm4Pt4
_chemical_formula_sum 'Nd2 Tm8 Pt8'
_symmetry_space_group_name_H-M 'P 42/n'
_symmetry_Int_Tables_number 86
_cell_length_a 9.073
_cell_length_b 9.073
_cell_length_c 5.653
_cell_angle_alpha 90.00
_cell_angle_beta 90.00
_cell_angle_gamma 90.00
loop_
_symmetry_equiv_pos_as_xyz
'x,y,z'
'-x,-y,-z'
'-y,x+1/2,z+1/2'
'y,-x+1/2,-z+1/2'
'-x+1/2,-y+1/2,z'
'x+1/2,y+1/2,-z'
'y+1/2,-x,z+1/2'
'-y+1/2,x,-z+1/2'
loop_
_atom_site_label
_atom_site_type_symbol
_atom_site_fract_x
_atom_site_fract_y
_atom_site_fract_z
_atom_site_occupancy
Nd1 Nd 0.250 0.250 0.250 1
Tm1 Tm 0.086 0.648 0.166 1
Pt1 Pt 0.043 0.620 0.668 1
```

A plane-wave DFT calculation with PBE-GGA was carried out for a relaxed structure of NdTm2Pt2.

Structure (CIF):
```
data_NdTm2Pt2
_chemical_formula_sum 'Nd2 Tm4 Pt4'
_symmetry_space_group_name_H-M 'P 1 21/m 1'
_symmetry_Int_Tables_number 11
_symmetry_space_group_name_Hall '-P 2yb'
_cell_length_a 5.397
_cell_length_b 4.646
_cell_length_c 10.374
_cell_angle_alpha 90.00
_cell_angle_beta 96.52
_cell_angle_gamma 90.00
loop_
_atom_site_label
_atom_site_type_symbol
_atom_site_fract_x
_atom_site_fract_y
_atom_site_fract_z
_atom_site_occupancy
Nd1 Nd 0.083 0.250 0.280 1
Tm1 Tm 0.272 0.750 0.027 1
Tm2 Tm 0.373 0.250 0.613 1
Pt1 Pt 0.160 0.750 0.473 1
Pt2 Pt 0.204 0.250 0.868 1
```

A plane-wave DFT calculation with PBE-GGA was carried out for a relaxed structure of NdTm2Pt.

Structure (CIF):
```
data_NdTm2Pt
_chemical_formula_sum 'Nd1 Tm2 Pt1'
_symmetry_space_group_name_H-M 'P 4/m m m'
_symmetry_Int_Tables_number 123
_symmetry_space_group_name_Hall '-P 4 2'
_cell_length_a 3.527
_cell_length_b 3.527
_cell_length_c 8.582
_cell_angle_alpha 90.00
_cell_angle_beta 90.00
_cell_angle_gamma 90.00
loop_
_atom_site_label
_atom_site_type_symbol
_atom_site_fract_x
_atom_site_fract_y
_atom_site_fract_z
_atom_site_occupancy
Nd1 Nd 0.000 0.000 0.000 1
Tm1 Tm 0.500 0.500 0.312 1
Pt1 Pt 0.000 0.000 0.500 1
```

A plane-wave DFT calculation with PBE-GGA was carried out for a relaxed structure of NdTmPt3.

Structure (CIF):
```
data_NdTmPt3
_chemical_formula_sum 'Nd4 Tm4 Pt12'
_symmetry_space_group_name_H-M 'C m c m'
_symmetry_Int_Tables_number 63
_symmetry_space_group_name_Hall '-C 2c 2'
_cell_length_a 3.842
_cell_length_b 26.963
_cell_length_c 4.264
_cell_angle_alpha 90.00
_cell_angle_beta 90.00
_cell_angle_gamma 90.00
loop_
_atom_site_label
_atom_site_type_symbol
_atom_site_fract_x
_atom_site_fract_y
_atom_site_fract_z
_atom_site_occupancy
Nd1 Nd 0.000 0.075 0.250 1
Tm1 Tm 0.000 0.207 0.750 1
Pt1 Pt 0.000 0.312 0.750 1
Pt2 Pt 0.000 0.374 0.250 1
Pt3 Pt 0.000 0.471 0.250 1
```

Number 1: calculated total energy -5.901 eV per atom, density of states at the Fermi level 2.029 states/eV/f.u.. Number 2: calculated total energy -6.667 eV per atom, density of states at the Fermi level 2.355 states/eV/f.u.. Number 3: calculated total energy -5.969 eV per atom, density of states at the Fermi level 3.417 states/eV/f.u.. Number 4: calculated total energy -6.207 eV per atom, density of states at the Fermi level 5.435 states/eV/f.u.. Number 5: calculated total energy -6.276 eV per atom, density of states at the Fermi level 6.946 states/eV/f.u.. Number 6: calculated total energy -6.196 eV per atom, density of states at the Fermi level 3.944 states/eV/f.u.. Number 7: calculated total energy -5.583 eV per atom, density of states at the Fermi level 3.750 states/eV/f.u.. Number 8: calculated total energy -6.594 eV per atom, density of states at the Fermi level 3.312 states/eV/f.u..